Record 1
A plane-wave DFT calculation with GGA-PBE was carried out for an optimized crystal structure of DyTm6Th2.

```
18
Lattice="6.266 -7.090 0.000 6.266 7.090 0.000 -1.374 0.000 6.390" Properties=species:S:1:pos:R:3 pbc="T T T"
Dy 5.235 5.490 4.793
Dy 5.922 -5.490 1.598
Tm 0.600 1.274 5.206
Tm 2.870 2.796 1.746
Tm 1.287 -1.274 2.011
Tm 4.444 2.713 6.352
Tm 6.026 2.713 3.234
Tm 2.183 -2.796 4.941
Tm 8.975 2.796 1.449
Tm 5.131 -2.713 3.156
Tm 6.713 -2.713 0.039
Tm 9.870 1.274 4.379
Tm 8.288 -2.796 4.644
Tm 10.557 -1.274 1.184
Th 3.723 0.340 3.969
Th 4.410 -0.340 0.774
Th 6.747 0.340 5.616
Th 7.434 -0.340 2.421
```

Properties
* ΔE to the lowest computed polymorph: 18.6 meV per atom

---

Record 2
A plane-wave DFT calculation with GGA-PBE was carried out for an optimized crystal structure of Dy12Tm7Th.

```
20
Lattice="-5.623 5.623 5.623 5.623 -5.623 5.623 5.623 5.623 -5.623" Properties=species:S:1:pos:R:3 pbc="T T T"
Dy 5.623 2.858 -2.844
Dy 2.779 0.000 2.765
Dy 8.468 0.000 2.765
Dy 2.765 2.779 0.000
Dy 2.858 -2.844 5.623
Dy 0.000 2.765 2.779
Dy 5.623 2.858 2.844
Dy 2.765 8.468 0.000
Dy 2.858 2.844 5.623
Dy -2.844 5.623 2.858
Dy 2.844 5.623 2.858
Dy 0.000 2.765 8.468
Tm 2.812 2.812 -2.812
Tm 2.812 -2.812 2.812
Tm 5.623 0.000 0.000
Tm -2.812 2.812 2.812
Tm 0.000 5.623 0.000
Tm 0.000 0.000 5.623
Tm 2.812 2.812 2.812
Th 0.000 0.000 0.000
```

Properties
* ΔE to the lowest computed polymorph: 521.6 meV per atom

---

Record 3
A plane-wave DFT calculation with GGA-PBE was carried out for an optimized crystal structure of Dy6TmTh5.

```
12
Lattice="-2.509 5.031 7.543 2.509 -5.031 7.543 2.509 5.031 -7.543" Properties=species:S:1:pos:R:3 pbc="T T T"
Dy 2.509 2.503 -2.529
Dy 0.000 2.488 0.000
Dy 2.509 2.503 2.529
Dy 0.000 2.528 5.014
Dy 0.000 7.574 0.000
Dy 0.000 2.528 10.072
Tm 0.000 0.000 7.543
Th 2.509 0.000 0.000
Th 0.000 0.000 2.516
Th 2.509 0.000 5.025
Th 0.000 5.031 2.518
Th 0.000 0.000 12.569
```

---

| no. | total energy (eV/atom) |
| --- | --- |
| 1 | -5.00 |
| 2 | -3.93 |
| 3 | -5.72 |